1.
Compound: TiReN2
Source: the Alexandria database
Functional: PBE
Structure: optimized geometry

Cell: 2.9586 2.9586 18.4059 Å, 90.00 90.00 120.00°
Space group R-3m (No. 166, hexagonal axes)
Unique sites:
Ti1 0.0000 0.0000 0.0000 x3
Re1 0.0000 0.0000 0.5000 x3
N1 0.0000 0.0000 0.3956 x6

Output
Crystal system ... trigonal
Theoretical density ... 9.36 g/cm³

2.
Compound: TiReN2
Source: the Alexandria database
Functional: PBE
Structure: optimized geometry

Cell: 4.554 4.554 9.459 Å, 90.00 90.00 90.00°
Space group I-42d (No. 122)
Unique sites:
Ti1 0.000 0.000 0.000 x4
Re1 0.000 0.000 0.500 x4
N1 0.246 0.250 0.625 x8

Output
Crystal system ... tetragonal
Theoretical density ... 8.87 g/cm³

Sorted by energy, starting with the most stable: 2, 1.

1.
Compound: Ti3ReN
Source: the Alexandria database
Functional: PBE
Structure: optimized geometry

Cell: 4.716 4.716 4.716 Å, 90.00 90.00 90.00°
Space group Pm-3m (No. 221)
Unique sites:
Ti1 0.000 0.000 0.500 x3
Re1 0.000 0.000 0.000 x1
N1 0.500 0.500 0.500 x1

Output
Crystal system ... cubic
Theoretical density ... 5.44 g/cm³

2.
Compound: Ti3ReN
Source: the Alexandria database
Functional: PBE
Structure: optimized geometry

Cell: 4.104 4.104 4.104 Å, 90.00 90.00 90.00°
Space group Pm-3m (No. 221)
Unique sites:
Ti1 0.000 0.000 0.500 x3
Re1 0.500 0.500 0.500 x1
N1 0.000 0.000 0.000 x1

Output
Crystal system ... cubic
Theoretical density ... 8.26 g/cm³

Sorted by energy, starting with the most stable: 2, 1.

1.
Compound: TlRe2N
Source: the Alexandria database
Functional: PBE
Structure: optimized geometry

Cell: 5.219 5.219 10.994 Å, 90.00 90.00 90.00°
Space group I-42d (No. 122)
Unique sites:
Tl1 0.000 0.000 0.000 x4
Re1 0.088 0.250 0.625 x8
N1 0.000 0.000 0.500 x4

Output
Crystal system ... tetragonal
Theoretical density ... 13.10 g/cm³

2.
Compound: TlRe2N
Source: the Alexandria database
Functional: PBE
Structure: optimized geometry

Cell: 6.209 6.209 6.209 Å, 90.00 90.00 90.00°
Space group Fm-3m (No. 225)
Unique sites:
Tl1 0.000 0.000 0.000 x4
Re1 0.250 0.250 0.250 x8
N1 0.000 0.000 0.500 x4

Output
Crystal system ... cubic
Theoretical density ... 16.40 g/cm³

Sorted by energy, starting with the most stable: 1, 2.

1.
Compound: Tl3ReN
Source: the Alexandria database
Functional: PBE
Structure: optimized geometry

Cell: 4.823 4.823 4.823 Å, 90.00 90.00 90.00°
Space group Pm-3m (No. 221)
Unique sites:
Tl1 0.000 0.000 0.500 x3
Re1 0.500 0.500 0.500 x1
N1 0.000 0.000 0.000 x1

Output
Crystal system ... cubic
Theoretical density ... 12.04 g/cm³

2.
Compound: Tl3ReN
Source: the Alexandria database
Functional: PBE
Structure: optimized geometry

Cell: 5.361 5.361 5.361 Å, 90.00 90.00 90.00°
Space group Pm-3m (No. 221)
Unique sites:
Tl1 0.000 0.000 0.500 x3
Re1 0.000 0.000 0.000 x1
N1 0.500 0.500 0.500 x1

Output
Crystal system ... cubic
Theoretical density ... 8.77 g/cm³

Sorted by energy, starting with the most stable: 2, 1.

1.
Compound: TlRe3N
Source: the Alexandria database
Functional: PBE
Structure: optimized geometry

Cell: 4.177 4.177 4.177 Å, 90.00 90.00 90.00°
Space group Pm-3m (No. 221)
Unique sites:
Tl1 0.000 0.000 0.000 x1
Re1 0.000 0.500 0.500 x3
N1 0.500 0.500 0.500 x1

Output
Crystal system ... cubic
Theoretical density ... 17.71 g/cm³

2.
Compound: TlRe3N
Source: the Alexandria database
Functional: PBE
Structure: optimized geometry

Cell: 4.932 4.932 4.932 Å, 90.00 90.00 90.00°
Space group Pm-3m (No. 221)
Unique sites:
Tl1 0.000 0.000 0.000 x1
Re1 0.000 0.000 0.500 x3
N1 0.500 0.500 0.500 x1

Output
Crystal system ... cubic
Theoretical density ... 10.75 g/cm³

Sorted by energy, starting with the most stable: 1, 2.

1.
Compound: Tm2ReN4
Source: the Alexandria database
Functional: PBE
Structure: optimized geometry

Cell: 5.791 5.831 6.354 Å, 90.00 107.28 90.00°
Space group P2_1/m (No. 11)
Unique sites:
Tm1 0.162 0.250 0.034 x2
Tm2 0.226 0.250 0.556 x2
Re1 0.298 0.750 0.814 x2
N1 0.047 0.516 0.756 x4
N2 0.483 0.750 0.097 x2
N3 0.495 0.750 0.639 x2

Output
Crystal system ... monoclinic
Theoretical density ... 9.40 g/cm³

2.
Compound: Tm2ReN4
Source: the Alexandria database
Functional: PBE
Structure: optimized geometry

Cell: 9.181 9.181 9.181 Å, 90.00 90.00 90.00°
Space group Fd-3m (No. 227, origin choice 2)
Unique sites:
Tm1 0.000 0.000 0.000 x16
Re1 0.125 0.125 0.625 x8
N1 0.008 0.008 0.742 x32

Output
Crystal system ... cubic
Theoretical density ... 9.96 g/cm³

Sorted by energy, starting with the most stable: 1, 2.

1.
Compound: TmRe2N4
Source: the Alexandria database
Functional: PBE
Structure: optimized geometry

Cell: 6.623 6.623 5.396 Å, 90.00 90.00 90.00°
Space group I4/m (No. 87)
Unique sites:
Tm1 0.000 0.000 0.000 x2
Re1 0.000 0.500 0.250 x4
N1 0.114 0.678 0.000 x8

Output
Crystal system ... tetragonal
Theoretical density ... 8.38 g/cm³

2.
Compound: TmRe2N4
Source: the Alexandria database
Functional: PBE
Structure: optimized geometry

Cell: 3.199 9.691 10.065 Å, 90.00 90.00 90.00°
Space group Cmcm (No. 63)
Unique sites:
Tm1 0.000 0.130 0.250 x4
Re1 0.000 0.387 0.064 x8
N1 0.000 0.000 0.000 x4
N2 0.000 0.262 0.607 x8
N3 0.000 0.440 0.250 x4

Output
Crystal system ... orthorhombic
Theoretical density ... 12.72 g/cm³

Sorted by energy, starting with the most stable: 2, 1.

1.
Compound: UReN
Source: the Alexandria database
Functional: PBE
Structure: optimized geometry

Cell: 3.840 3.840 7.477 Å, 90.00 90.00 90.00°
Space group I4mm (No. 107)
Unique sites:
U1 0.000 0.000 0.000 x2
Re1 0.000 0.000 0.472 x2
N1 0.000 0.000 0.723 x2

Output
Crystal system ... tetragonal
Theoretical density ... 13.20 g/cm³

2.
Compound: UReN
Source: the Alexandria database
Functional: PBE
Structure: optimized geometry

Cell: 9.532 4.547 5.151 Å, 90.00 113.55 90.00°
Space group C2/m (No. 12)
Unique sites:
U1 0.170 0.000 0.173 x4
Re1 0.029 0.500 0.281 x4
N1 0.181 0.500 0.071 x4

Output
Crystal system ... monoclinic
Theoretical density ... 14.22 g/cm³

Sorted by energy, starting with the most stable: 2, 1.

1.
Compound: VRe3N
Source: the Alexandria database
Functional: PBE
Structure: optimized geometry

Cell: 4.047 4.047 4.047 Å, 90.00 90.00 90.00°
Space group Pm-3m (No. 221)
Unique sites:
V1 0.000 0.000 0.000 x1
Re1 0.000 0.500 0.500 x3
N1 0.500 0.500 0.500 x1

Output
Crystal system ... cubic
Theoretical density ... 15.62 g/cm³

2.
Compound: VRe3N
Source: the Alexandria database
Functional: PBE
Structure: optimized geometry

Cell: 4.476 4.476 4.476 Å, 90.00 90.00 90.00°
Space group Pm-3m (No. 221)
Unique sites:
V1 0.000 0.000 0.000 x1
Re1 0.000 0.000 0.500 x3
N1 0.500 0.500 0.500 x1

Output
Crystal system ... cubic
Theoretical density ... 11.55 g/cm³

Sorted by energy, starting with the most stable: 1, 2.

1.
Compound: V3ReN
Source: the Alexandria database
Functional: PBE
Structure: optimized geometry

Cell: 3.936 3.936 3.936 Å, 90.00 90.00 90.00°
Space group Pm-3m (No. 221)
Unique sites:
V1 0.000 0.000 0.500 x3
Re1 0.500 0.500 0.500 x1
N1 0.000 0.000 0.000 x1

Output
Crystal system ... cubic
Theoretical density ... 9.61 g/cm³

2.
Compound: V3ReN
Source: the Alexandria database
Functional: PBE
Structure: optimized geometry

Cell: 4.635 4.635 4.635 Å, 90.00 90.00 90.00°
Space group Pm-3m (No. 221)
Unique sites:
V1 0.000 0.000 0.500 x3
Re1 0.000 0.000 0.000 x1
N1 0.500 0.500 0.500 x1

Output
Crystal system ... cubic
Theoretical density ... 5.89 g/cm³

Sorted by energy, starting with the most stable: 1, 2.

1.
Compound: Re3WN
Source: the Alexandria database
Functional: PBE
Structure: optimized geometry

Cell: 4.718 4.718 4.718 Å, 90.00 90.00 90.00°
Space group Pm-3m (No. 221)
Unique sites:
Re1 0.000 0.000 0.500 x3
W1 0.000 0.000 0.000 x1
N1 0.500 0.500 0.500 x1

Output
Crystal system ... cubic
Theoretical density ... 11.96 g/cm³

2.
Compound: Re3WN
Source: the Alexandria database
Functional: PBE
Structure: optimized geometry

Cell: 4.075 4.075 4.075 Å, 90.00 90.00 90.00°
Space group Pm-3m (No. 221)
Unique sites:
Re1 0.000 0.000 0.500 x3
W1 0.500 0.500 0.500 x1
N1 0.000 0.000 0.000 x1

Output
Crystal system ... cubic
Theoretical density ... 18.56 g/cm³

Sorted by energy, starting with the most stable: 2, 1.

1.
Compound: ReWN
Source: the Alexandria database
Functional: PBE
Structure: optimized geometry

Cell: 4.086 4.086 9.011 Å, 90.00 90.00 90.00°
Space group I4_1md (No. 109)
Unique sites:
Re1 0.000 0.000 0.000 x4
W1 0.000 0.000 0.557 x4
N1 0.000 0.000 0.314 x4

Output
Crystal system ... tetragonal
Theoretical density ... 16.96 g/cm³

2.
Compound: ReWN
Source: the Alexandria database
Functional: PBE
Structure: optimized geometry

Cell: 3.8771 3.8771 2.9034 Å, 90.00 90.00 120.00°
Space group P3m1 (No. 156)
Unique sites:
Re1 0.0000 0.0000 0.0000 x1
W1 0.6667 0.3333 0.5028 x1
N1 0.3333 0.6667 0.9972 x1

Output
Crystal system ... trigonal
Theoretical density ... 16.87 g/cm³

Sorted by energy, starting with the most stable: 1, 2.

1.
Compound: YReN2
Source: the Alexandria database
Functional: PBE
Structure: optimized geometry

Cell: 5.653 5.653 5.653 Å, 90.00 90.00 90.00°
Space group Fm-3m (No. 225)
Unique sites:
Y1 0.000 0.000 0.000 x4
Re1 0.000 0.000 0.500 x4
N1 0.250 0.250 0.250 x8

Output
Crystal system ... cubic
Theoretical density ... 11.14 g/cm³

2.
Compound: YReN2
Source: the Alexandria database
Functional: PBE
Structure: optimized geometry

Cell: 3.4543 3.4543 18.3177 Å, 90.00 90.00 120.00°
Space group R-3m (No. 166, hexagonal axes)
Unique sites:
Y1 0.0000 0.0000 0.0000 x3
Re1 0.0000 0.0000 0.5000 x3
N1 0.0000 0.0000 0.3989 x6

Output
Crystal system ... trigonal
Theoretical density ... 7.98 g/cm³

3.
Compound: YReN2
Source: the Alexandria database
Functional: PBE
Structure: optimized geometry

Cell: 3.1559 3.1559 19.9824 Å, 90.00 90.00 120.00°
Space group R-3m (No. 166, hexagonal axes)
Unique sites:
Y1 0.0000 0.0000 0.0000 x3
Re1 0.0000 0.0000 0.5000 x3
N1 0.0000 0.0000 0.1141 x6

Output
Crystal system ... trigonal
Theoretical density ... 8.76 g/cm³

Sorted by energy, starting with the most stable: 2, 1, 3.